First-principles (PBE-GGA) data for an optimized crystal structure of Y7ErSc2, as listed in the Alexandria database.

abc: 6.3788 28.7185 3.3978
angles: 90.00 90.00 90.00
Last column: nearest neighbours and their distance in Å.
Space group Cmmm (No. 65)
Symmetry-distinct sites (fractional):
Y: 0.0000 0.0000 0.0000  6 Y 3.35-3.40, 4 Er 3.61
Y: 0.0000 0.1942 0.5000  6 Sc 3.36-3.63, 6 Y 3.40-3.56
Y: 0.2429 0.3983 0.0000  5 Y 3.10-3.40, 1 Sc 3.35
Er: 0.0000 0.5000 0.5000  2 Er 3.40, 12 Y 3.61-3.72
Sc: 0.0000 0.2950 0.0000  8 Y 3.35-3.63, 2 Sc 3.40

Results
Its formation energy is 0.245 eV/atom. For the density of states at the Fermi level, the calculation gives 1.912 states/eV/atom. The value obtained for the total energy is -6.003 eV/atom.